DFT (PBE) results for crystalline SrCaPRh at its relaxed geometry.

```
SrCaPRh
1.0
-1.329 0.205 4.312
-3.467 -2.456 -0.952
3.299 -4.212 -1.149
Rh Ca Sr P
1 1 1 1
direct
0.450 0.000 0.899 Rh
0.859 0.500 0.718 Ca
0.148 0.000 0.296 Sr
0.543 0.500 0.087 P
```

Properties
* E_tot: -19.59 eV per cell
* symmetry: Amm2
* calculated density: 4.43 g/cm3
* crystal system: orthorhombic
* energy of formation from the pure elements: -0.785 eV per atom

---

DFT (PBE) results for crystalline CaTaPRh2 at its relaxed geometry.

```
CaTaPRh2
1.0
-0.934 -2.288 3.934
2.868 -4.651 -2.024
3.935 1.612 1.872
Ta Rh P Ca
1 2 1 1
direct
0.000 0.000 0.000 Ta
0.500 0.000 0.000 Rh
0.000 0.000 0.500 Rh
0.500 0.500 0.500 P
0.000 0.500 0.000 Ca
```

Properties
* E_tot: -29.22 eV per cell
* symmetry: P4/mmm
* calculated density: 6.04 g/cm3
* crystal system: tetragonal
* energy of formation from the pure elements: 0.950 eV per atom

---

DFT (PBE) results for crystalline CaTb2P3Rh12 at its relaxed geometry.

```
CaTb2P3Rh12
1.0
6.472 -1.420 -1.007
1.962 6.329 -1.007
1.962 1.142 6.306
Rh P Tb Ca
12 3 2 1
direct
0.336 0.821 0.821 Rh
0.821 0.821 0.336 Rh
0.821 0.336 0.821 Rh
0.179 0.664 0.179 Rh
0.371 0.906 0.371 Rh
0.906 0.371 0.371 Rh
0.094 0.629 0.629 Rh
0.629 0.094 0.629 Rh
0.664 0.179 0.179 Rh
0.179 0.179 0.664 Rh
0.629 0.629 0.094 Rh
0.371 0.371 0.906 Rh
0.500 0.000 0.000 P
0.000 0.000 0.500 P
0.000 0.500 0.000 P
0.629 0.629 0.629 Tb
0.371 0.371 0.371 Tb
0.000 0.000 0.000 Ca
```

Properties
* E_tot: -122.07 eV per cell
* symmetry: R-3m
* calculated density: 9.44 g/cm3
* crystal system: trigonal
* energy of formation from the pure elements: -0.353 eV per atom